Nd3Ag2Pd4 (PBE, relaxed); ΔE_f = -0.5823 eV/atom; energy above the lowest structure with this stoichiometry = 0 meV/atom; V = 22.374 A^3/atom; symmetry = No. 12
1.0
4.9516 -2.3289 0.0000
4.9516 2.3289 0.0000
-1.1332 0.0000 8.7307
Nd Ag Pd
3 2 4
direct
0.0000 0.0000 0.0000
0.3807 0.3807 0.6218
0.6193 0.6193 0.3782
0.3000 0.3000 0.2364
0.7000 0.7000 0.7637
0.0836 0.0836 0.6348
0.2902 0.2902 0.9188
0.7098 0.7098 0.0812
0.9164 0.9164 0.3652